(1)
An optimized crystal structure of CeSi. Source: Alexandria, functional PBEsol.

The structure belongs to space group Pnma (No. 62); the cell edges are 8.096, 3.835 and 5.733 Å and the angles 90.00°, 90.00° and 90.00°. The distinct sites, in fractional coordinates, are Ce at (0.182, 0.250, 0.116) and Si at (0.034, 0.250, 0.624).

The value obtained for the density is 6.3 g/cm3. The formation energy without anion corrections comes out at -1.27 eV per formula unit.

=====

(2)
An optimized crystal structure of CeSi5. Source: Alexandria, functional PBEsol.

The structure belongs to space group Immm (No. 71); the cell edges are 3.754, 5.975 and 9.079 Å and the angles 90.00°, 90.00° and 90.00°. The distinct sites, in fractional coordinates, are Ce at (0.000, 0.000, 0.000), Si at (0.000, 0.199, 0.330) and Si at (0.000, 0.500, 0.000).

The value obtained for the density is 4.6 g/cm3. The formation energy without anion corrections comes out at -1.92 eV per formula unit.

=====

(3)
An optimized crystal structure of Ce5Si3. Source: Alexandria, functional PBEsol.

The structure belongs to space group I4/mcm (No. 140); the cell edges are 7.625, 7.625 and 12.559 Å and the angles 90.00°, 90.00° and 90.00°. The distinct sites, in fractional coordinates, are Ce at (0.000, 0.000, 0.000), Ce at (0.179, 0.321, 0.156), Si at (0.000, 0.000, 0.250) and Si at (0.115, 0.385, 0.500).

The value obtained for the density is 7.1 g/cm3. The formation energy without anion corrections comes out at -4.24 eV per formula unit.

=====

(4)
An optimized crystal structure of Ce5Si4. Source: Alexandria, functional PBEsol.

The structure belongs to space group P4_12_12 (No. 92); the cell edges are 7.730, 7.730 and 13.760 Å and the angles 90.00°, 90.00° and 90.00°. The distinct sites, in fractional coordinates, are Ce at (0.004, 0.347, 0.212), Ce at (0.010, 0.874, 0.119), Ce at (0.137, 0.137, 0.000), Si at (0.056, 0.309, 0.806) and Si at (0.148, 0.770, 0.925).

The value obtained for the density is 6.6 g/cm3. The formation energy without anion corrections comes out at -5.17 eV per formula unit.

=====

(5)
An optimized crystal structure of Ce4Sm. Source: Alexandria, functional PBEsol.

The structure belongs to space group R-3m (No. 166, hexagonal axes); the cell edges are 3.2936, 3.2936 and 40.8583 Å and the angles 90.00°, 90.00° and 120.00°. The distinct sites, in fractional coordinates, are Ce at (0.0000, 0.0000, 0.0963), Ce at (0.0000, 0.0000, 0.3010) and Sm at (0.0000, 0.0000, 0.5000).

For the formation energy, the calculation gives 0.06 eV per atom. The value obtained for the density is 9.2 g/cm3.

=====

(6)
An optimized crystal structure of CeSmZn2. Source: Alexandria, functional PBEsol.

The structure belongs to space group Fm-3m (No. 225); the cell edges are 7.126, 7.126 and 7.126 Å and the angles 90.00°, 90.00° and 90.00°. The distinct sites, in fractional coordinates, are Ce at (0.000, 0.000, 0.000), Sm at (0.000, 0.000, 0.500) and Zn at (0.250, 0.250, 0.250).

For the formation energy, the calculation gives -0.19 eV per atom. The value obtained for the density is 7.7 g/cm3.

=====

(7)
An optimized crystal structure of Ce3Sn7. Source: Alexandria, functional PBEsol.

The structure belongs to space group Cmmm (No. 65); the cell edges are 4.503, 24.696 and 4.563 Å and the angles 90.00°, 90.00° and 90.00°. The distinct sites, in fractional coordinates, are Ce at (0.000, 0.000, 0.000), Ce at (0.000, 0.186, 0.000), Sn at (0.000, 0.096, 0.500), Sn at (0.000, 0.293, 0.500), Sn at (0.000, 0.404, 0.000) and Sn at (0.000, 0.500, 0.500).

For the formation energy, the calculation gives -0.61 eV per atom. The value obtained for the density is 8.2 g/cm3.

=====

(8)
An optimized crystal structure of CeSn3. Source: Alexandria, functional PBEsol.

The structure belongs to space group Pm-3m (No. 221); the cell edges are 4.629, 4.629 and 4.629 Å and the angles 90.00°, 90.00° and 90.00°. The distinct sites, in fractional coordinates, are Ce at (0.000, 0.000, 0.000) and Sn at (0.000, 0.500, 0.500).

For the formation energy, the calculation gives -0.58 eV per atom. The value obtained for the density is 8.3 g/cm3.

=====

> The highest density belongs to which entry?

Ce4Sm